Bi4Rh6O19: optimized geometry, GGA-PBE.

Values from the calculation:
VASP energy = -355.055 eV for the cell shown
E_form (uncorrected) = -0.82 eV/atom

Unit cell a=8.9532 b=8.9532 c=8.9532 alpha=90.00 beta=90.00 gamma=90.00
Space group I23 (No. 197)
One atom of each set of equivalent atoms:
Bi: 0.1586 0.1586 0.8414 [8 per cell]
Rh: 0.0000 0.3374 0.5000 [12 per cell]
O: 0.0000 0.0000 0.0000 [2 per cell]
O: 0.0000 0.0000 0.3428 [12 per cell]
O: 0.0299 0.3172 0.2826 [24 per cell]

Nd4IrPdCl2: optimized geometry, GGA-PBE.

Values from the calculation:
VASP energy = -46.072 eV for the cell shown
E_form (uncorrected) = -1.16 eV/atom

Unit cell a=7.2134 b=4.1614 c=7.9026 alpha=90.00 beta=107.91 gamma=90.00
Space group P2/m (No. 10)
One atom of each set of equivalent atoms:
Nd: 0.2287 0.0000 0.2060 [2 per cell]
Nd: 0.2541 0.5000 0.7928 [2 per cell]
Ir: 0.0000 0.5000 0.0000 [1 per cell]
Pd: 0.5000 0.0000 0.0000 [1 per cell]
Cl: 0.0000 0.0000 0.5000 [1 per cell]
Cl: 0.5000 0.5000 0.5000 [1 per cell]

Ru4Pb: optimized geometry, GGA-PBE.

Values from the calculation:
VASP energy = -76.090 eV for the cell shown
polymorph energy (0 for the lowest one) = 0 meV per atom
ΔE_f = 553.3 meV per atom

Unit cell a=3.8778 b=3.8778 c=11.5745 alpha=90.00 beta=90.00 gamma=90.00
Space group I4/mmm (No. 139)
One atom of each set of equivalent atoms:
Ru: 0.0000 0.0000 0.1052 [4 per cell]
Ru: 0.0000 0.5000 0.2500 [4 per cell]
Pb: 0.0000 0.0000 0.5000 [2 per cell]

Ag3As: optimized geometry, GGA-PBE.

Values from the calculation:
VASP energy = -12.797 eV for the cell shown
ΔE_f = 101.6 meV per atom

Unit cell a=2.9258 b=2.9258 c=8.5723 alpha=90.00 beta=90.00 gamma=90.00
Space group P4/mmm (No. 123)
One atom of each set of equivalent atoms:
Ag: 0.0000 0.0000 0.0000 [1 per cell]
Ag: 0.5000 0.5000 0.2454 [2 per cell]
As: 0.0000 0.0000 0.5000 [1 per cell]

CaPrEr2Hg4: optimized geometry, GGA-PBE.

Values from the calculation:
VASP energy = -63.032 eV for the cell shown
ΔE_f = -487.1 meV per atom

Unit cell a=5.2935 b=5.2935 c=26.1850 alpha=90.00 beta=90.00 gamma=120.00
Space group R-3m (No. 166, hexagonal axes)
One atom of each set of equivalent atoms:
Ca: 0.0000 0.0000 0.0000 [3 per cell]
Pr: 0.0000 0.0000 0.5000 [3 per cell]
Er: 0.0000 0.0000 0.2525 [6 per cell]
Hg: 0.0000 0.0000 0.1229 [6 per cell]
Hg: 0.0000 0.0000 0.3744 [6 per cell]

K2AgIr: optimized geometry, GGA-PBE.

Values from the calculation:
VASP energy = -32.952 eV for the cell shown
polymorph energy (0 for the lowest one) = 209 meV per atom
ΔE_f = 730.8 meV per atom

Unit cell a=3.0520 b=3.0520 c=33.8102 alpha=90.00 beta=90.00 gamma=120.00
Space group R-3m (No. 166, hexagonal axes)
One atom of each set of equivalent atoms:
K: 0.0000 0.0000 0.2442 [6 per cell]
Ag: 0.0000 0.0000 0.0000 [3 per cell]
Ir: 0.0000 0.0000 0.5000 [3 per cell]

TaFeP2: optimized geometry, GGA-PBE.

Values from the calculation:
VASP energy = -94.697 eV for the cell shown
polymorph energy (0 for the lowest one) = 414 meV per atom
ΔE_f = -107.7 meV per atom

Unit cell a=2.9089 b=2.9089 c=22.2343 alpha=90.00 beta=90.00 gamma=120.00
Space group R-3m (No. 166, hexagonal axes)
One atom of each set of equivalent atoms:
Ta: 0.0000 0.0000 0.0000 [3 per cell]
Fe: 0.0000 0.0000 0.5000 [3 per cell]
P: 0.0000 0.0000 0.2396 [6 per cell]

Tm5Sn2Sb: optimized geometry, GGA-PBE.

Values from the calculation:
VASP energy = -153.398 eV for the cell shown
E_form (uncorrected) = -0.48 eV/atom

Unit cell a=4.7517 b=11.7619 c=16.1781 alpha=90.00 beta=90.00 gamma=90.00
Space group Cmcm (No. 63)
One atom of each set of equivalent atoms:
Tm: 0.0000 0.0944 0.0818 [8 per cell]
Tm: 0.0000 0.3286 0.7500 [4 per cell]
Tm: 0.0000 0.3934 0.1222 [8 per cell]
Sn: 0.0000 0.2510 0.5723 [8 per cell]
Sb: 0.0000 0.0318 0.7500 [4 per cell]

Look up the VASP energy of the second one. -46.072 eV for the cell shown

VASP energy of number 2 (Nd4IrPdCl2)? -46.072 eV for the cell shown

VASP energy of number 4 (Ag3As)? -12.797 eV for the cell shown